## one
TcPAuO2 | PBE | relaxed

The structure in extended XYZ format:
```
5
Lattice="3.730 0.000 0.000 0.000 3.730 0.000 0.000 0.000 5.343" Properties=species:S:1:pos:R:3 pbc="T T T"
P 0.000 0.000 2.671
Au 1.865 1.865 2.671
Tc 0.000 0.000 0.000
O 0.000 1.865 0.000
O 1.865 0.000 0.000
```

Summary:
DOS(E_F) ... 2.25 states/eV per cell
Total moment ... 0.000 Bohr magnetons per cell
V ... 14.87 Å³ per atom


## two
TcPAuO2 | PBE | relaxed

The structure in extended XYZ format:
```
5
Lattice="3.969 0.000 0.000 0.000 3.969 0.000 0.000 0.000 5.011" Properties=species:S:1:pos:R:3 pbc="T T T"
P 0.000 0.000 2.505
Au 0.000 0.000 0.000
Tc 1.985 1.985 2.505
O 0.000 1.985 0.000
O 1.985 0.000 0.000
```

Summary:
DOS(E_F) ... 3.83 states/eV per cell
Total moment ... 4.023 Bohr magnetons per cell
V ... 15.79 Å³ per atom


Which of them is the most stable, and which is the least stable? one and two, in that order.


## one
TlPAuO2 | PBE | relaxed

The structure in extended XYZ format:
```
5
Lattice="-0.423 -1.176 3.795 3.839 0.863 0.695 -1.645 5.973 1.668" Properties=species:S:1:pos:R:3 pbc="T T T"
P -0.822 2.987 0.834
Tl 0.000 0.000 0.000
Au 0.886 2.830 3.079
O 1.919 0.432 0.348
O -0.211 -0.588 1.898
```

Summary:
DOS(E_F) ... 3.16 states/eV per cell
Total moment ... 1.176 Bohr magnetons per cell
V ... 20.49 Å³ per atom


## two
TlPAuO2 | PBE | relaxed

The structure in extended XYZ format:
```
5
Lattice="4.095 0.000 0.000 0.000 4.095 0.000 0.000 0.000 5.031" Properties=species:S:1:pos:R:3 pbc="T T T"
P 0.000 0.000 2.515
Tl 2.048 2.048 2.515
Au 0.000 0.000 0.000
O 0.000 2.048 0.000
O 2.048 0.000 0.000
```

Summary:
DOS(E_F) ... 5.60 states/eV per cell
Total moment ... 0.003 Bohr magnetons per cell
V ... 16.88 Å³ per atom


Which of them is the most stable, and which is the least stable? two and one, in that order.